The following is a GGA-PBE calculation of a geometry-optimized CeDyCoOs structure, from Alexandria.

Summary:
The crystal system is cubic.

abc: 4.8209 4.8209 4.8209
angles: 60.00 60.00 60.00
Closest atoms and distances in Å follow each position.
Atoms (fractional coordinates):
Ce  0.0000  0.0000  0.0000  4 Co 2.95, 4 Os 2.95
Dy  0.5000  0.5000  0.5000  4 Co 2.95, 4 Os 2.95
Co  0.7500  0.7500  0.7500  4 Dy 2.95, 4 Ce 2.95
Os  0.2500  0.2500  0.2500  4 Dy 2.95, 4 Ce 2.95

---

The following is a GGA-PBE calculation of a geometry-optimized CeDyCoPd structure, from Alexandria.

Summary:
The crystal system is cubic.

abc: 4.8935 4.8935 4.8935
angles: 60.00 60.00 60.00
Closest atoms and distances in Å follow each position.
Atoms (fractional coordinates):
Ce  0.0000  0.0000  0.0000  4 Pd 3.00, 4 Co 3.00
Dy  0.5000  0.5000  0.5000  4 Co 3.00, 4 Pd 3.00
Co  0.2500  0.2500  0.2500  4 Dy 3.00, 4 Ce 3.00
Pd  0.7500  0.7500  0.7500  4 Dy 3.00, 4 Ce 3.00

---

The following is a GGA-PBE calculation of a geometry-optimized CeDyCoPt structure, from Alexandria.

Summary:
The crystal system is cubic.

abc: 4.8957 4.8957 4.8957
angles: 60.00 60.00 60.00
Closest atoms and distances in Å follow each position.
Atoms (fractional coordinates):
Ce  0.0000  0.0000  0.0000  4 Co 3.00, 4 Pt 3.00
Dy  0.5000  0.5000  0.5000  4 Pt 3.00, 4 Co 3.00
Co  0.7500  0.7500  0.7500  4 Dy 3.00, 4 Ce 3.00
Pt  0.2500  0.2500  0.2500  4 Dy 3.00, 4 Ce 3.00

---

Computed formation energy from the elements, in the same sequence as the records: -0.15; -0.38; -0.56 eV/atom.
Computed electronic total energy, in the same sequence as the records: -7.3666; -6.0896; -6.4824 eV/atom.